BeFeNi2: relaxed, GGA-PBEsol.

The structure belongs to space group P4/mmm (No. 123); the cell edges are 2.483, 2.483 and 6.243 Å and the angles 90.00°, 90.00° and 90.00°. The asymmetric unit holds Be at (0.000, 0.000, 0.000), Fe at (0.000, 0.000, 0.500) and Ni at (0.500, 0.500, 0.220).

For the raw total energy, the calculation gives -6.571 eV per atom. The formation energy comes out at -97.0 kJ/mol of formula units.

***

Be2FeNi: relaxed, GGA-PBEsol.

The structure belongs to space group P4/mmm (No. 123); the cell edges are 3.707, 3.707 and 2.526 Å and the angles 90.00°, 90.00° and 90.00°. The asymmetric unit holds Be at (0.000, 0.500, 0.000), Fe at (0.000, 0.000, 0.500) and Ni at (0.500, 0.500, 0.500).

For the raw total energy, the calculation gives -6.087 eV per atom. The formation energy comes out at -118.4 kJ/mol of formula units. For the energy above the most stable polymorph in this dataset, the calculation gives 0.000 eV/atom.

***

BeFe2O4: relaxed, GGA-PBEsol.

The structure belongs to space group Pnma (No. 62); the cell edges are 9.457, 5.383 and 4.444 Å and the angles 90.00°, 90.00° and 90.00°. The asymmetric unit holds Be at (0.093, 0.250, 0.071), Fe at (0.000, 0.000, 0.500), Fe at (0.233, 0.750, 0.002), O at (0.066, 0.750, 0.773), O at (0.094, 0.250, 0.718) and O at (0.164, 0.013, 0.243).

The value obtained for the uncorrected formation energy is -11.52 eV per formula unit. For the raw total energy, the calculation gives -7.778 eV per atom.

***

BeFeRuO2: relaxed, GGA-PBEsol.

The structure belongs to space group P4/mmm (No. 123); the cell edges are 3.375, 3.375 and 5.172 Å and the angles 90.00°, 90.00° and 90.00°. The asymmetric unit holds Be at (0.000, 0.000, 0.000), Fe at (0.500, 0.500, 0.500), Ru at (0.500, 0.500, 0.000) and O at (0.000, 0.500, 0.500).

The value obtained for the uncorrected formation energy is 0.62 eV per formula unit. For the raw total energy, the calculation gives -6.604 eV per atom.

***

Be4FeOs: relaxed, GGA-PBEsol.

The structure belongs to space group F-43m (No. 216); the cell edges are 5.979, 5.979 and 5.979 Å and the angles 90.00°, 90.00° and 90.00°. The asymmetric unit holds Be at (0.125, 0.125, 0.125), Fe at (0.000, 0.000, 0.500) and Os at (0.250, 0.250, 0.750).

For the raw total energy, the calculation gives -6.485 eV per atom. The formation energy comes out at -166.7 kJ/mol of formula units.

***

BeFeOs2: relaxed, GGA-PBEsol.

The structure belongs to space group P4/mmm (No. 123); the cell edges are 4.068, 4.068 and 2.844 Å and the angles 90.00°, 90.00° and 90.00°. The asymmetric unit holds Be at (0.000, 0.000, 0.000), Fe at (0.500, 0.500, 0.000) and Os at (0.000, 0.500, 0.500).

For the raw total energy, the calculation gives -9.258 eV per atom. The formation energy comes out at 35.1 kJ/mol of formula units.

***

Be2Fe2Os: relaxed, GGA-PBEsol.

The structure belongs to space group P4/mbm (No. 127); the cell edges are 6.064, 6.064 and 2.679 Å and the angles 90.00°, 90.00° and 90.00°. The asymmetric unit holds Be at (0.124, 0.376, 0.000), Fe at (0.171, 0.671, 0.500) and Os at (0.000, 0.000, 0.000).

For the raw total energy, the calculation gives -7.726 eV per atom. The formation energy comes out at -47.2 kJ/mol of formula units.

***

Be2FeOs: relaxed, GGA-PBEsol.

The structure belongs to space group Pmmm (No. 47); the cell edges are 3.018, 3.526 and 3.934 Å and the angles 90.00°, 90.00° and 90.00°. The asymmetric unit holds Be at (0.000, 0.000, 0.000), Be at (0.500, 0.000, 0.500), Fe at (0.000, 0.500, 0.500) and Os at (0.500, 0.500, 0.000).

For the raw total energy, the calculation gives -7.313 eV per atom. The formation energy comes out at -7.1 kJ/mol of formula units. For the energy above the most stable polymorph in this dataset, the calculation gives 0.158 eV/atom.

***

Be2FeOs: relaxed, GGA-PBEsol.

The structure belongs to space group P4mm (No. 99); the cell edges are 2.681, 2.681 and 5.472 Å and the angles 90.00°, 90.00° and 90.00°. The asymmetric unit holds Be at (0.000, 0.000, 0.000), Be at (0.500, 0.500, 0.200), Fe at (0.000, 0.000, 0.434) and Os at (0.500, 0.500, 0.723).

For the raw total energy, the calculation gives -7.471 eV per atom. The formation energy comes out at -68.1 kJ/mol of formula units. For the energy above the most stable polymorph in this dataset, the calculation gives 0.000 eV/atom.

***

Be2FeOs: relaxed, GGA-PBEsol.

The structure belongs to space group Imm2 (No. 44); the cell edges are 2.776, 3.723 and 7.652 Å and the angles 90.00°, 90.00° and 90.00°. The asymmetric unit holds Be at (0.000, 0.000, 0.000), Be at (0.000, 0.500, 0.272), Fe at (0.000, 0.500, 0.748) and Os at (0.000, 0.000, 0.512).

For the raw total energy, the calculation gives -7.377 eV per atom. The formation energy comes out at -31.8 kJ/mol of formula units. For the energy above the most stable polymorph in this dataset, the calculation gives 0.094 eV/atom.

***

BeFeOs2: relaxed, GGA-PBEsol.

The structure belongs to space group P4/mmm (No. 123); the cell edges are 2.780, 2.780 and 5.931 Å and the angles 90.00°, 90.00° and 90.00°. The asymmetric unit holds Be at (0.000, 0.000, 0.000), Fe at (0.000, 0.000, 0.500) and Os at (0.500, 0.500, 0.232).

For the raw total energy, the calculation gives -9.347 eV per atom. The formation energy comes out at 0.6 kJ/mol of formula units.

***

Be2FeOs: relaxed, GGA-PBEsol.

The structure belongs to space group Cmmm (No. 65); the cell edges are 2.827, 4.168 and 7.241 Å and the angles 90.00°, 90.00° and 90.00°. The asymmetric unit holds Be at (0.000, 0.000, 0.238), Fe at (0.000, 0.500, 0.000) and Os at (0.000, 0.500, 0.500).

For the raw total energy, the calculation gives -7.178 eV per atom. The formation energy comes out at 45.2 kJ/mol of formula units. For the energy above the most stable polymorph in this dataset, the calculation gives 0.294 eV/atom.